No. 1
A plane-wave DFT calculation with PBE was carried out for an optimized crystal structure of ErTm2Al7Ag2.

Unit cell a=9.289 b=9.289 c=9.289 alpha=34.51 beta=34.51 gamma=34.51
Element x y z (fractional)
Ag 0.336 0.336 0.336
Ag 0.664 0.664 0.664
Al 0.588 0.588 0.076
Al 0.924 0.412 0.412
Al 0.412 0.924 0.412
Al 0.500 0.500 0.500
Al 0.588 0.076 0.588
Al 0.076 0.588 0.588
Al 0.412 0.412 0.924
Er 0.000 0.000 0.000
Tm 0.143 0.143 0.143
Tm 0.857 0.857 0.857

Properties
electronic total energy = -4.214 eV per atom
mass density = 6.6 Mg/m³

=====

No. 2
A plane-wave DFT calculation with PBE was carried out for an optimized crystal structure of ErTmAl2Ag4.

Unit cell a=4.547 b=4.547 c=8.980 alpha=90.00 beta=90.00 gamma=120.00
Element x y z (fractional)
Ag 0.333 0.667 0.165
Ag 0.000 0.000 0.336
Ag 0.000 0.000 0.664
Ag 0.333 0.667 0.835
Al 0.667 0.333 0.250
Al 0.667 0.333 0.750
Er 0.000 0.000 0.000
Tm 0.333 0.667 0.500

Properties
electronic total energy = -3.794 eV per atom
mass density = 8.5 Mg/m³

=====

No. 3
A plane-wave DFT calculation with PBE was carried out for an optimized crystal structure of Er2TmAl7Ag2.

Unit cell a=9.298 b=9.298 c=9.298 alpha=34.48 beta=34.48 gamma=34.48
Element x y z (fractional)
Ag 0.336 0.336 0.336
Ag 0.664 0.664 0.664
Al 0.588 0.588 0.076
Al 0.412 0.924 0.412
Al 0.924 0.412 0.412
Al 0.500 0.500 0.500
Al 0.588 0.076 0.588
Al 0.076 0.588 0.588
Al 0.412 0.412 0.924
Er 0.142 0.142 0.142
Er 0.858 0.858 0.858
Tm 0.000 0.000 0.000

Properties
electronic total energy = -4.220 eV per atom
mass density = 6.6 Mg/m³

=====

No. 4
A plane-wave DFT calculation with PBE was carried out for an optimized crystal structure of Y2ErAl7Ag2.

Unit cell a=9.335 b=9.335 c=9.335 alpha=34.51 beta=34.51 gamma=34.51
Element x y z (fractional)
Ag 0.336 0.336 0.336
Ag 0.664 0.664 0.664
Al 0.587 0.587 0.076
Al 0.924 0.413 0.413
Al 0.413 0.924 0.413
Al 0.500 0.500 0.500
Al 0.587 0.076 0.587
Al 0.076 0.587 0.587
Al 0.413 0.413 0.924
Er 0.000 0.000 0.000
Y 0.142 0.142 0.142
Y 0.858 0.858 0.858

Properties
electronic total energy = -4.564 eV per atom
mass density = 5.3 Mg/m³

=====

No. 5
A plane-wave DFT calculation with PBE was carried out for an optimized crystal structure of YEr2Al7Ag2.

Unit cell a=9.316 b=9.316 c=9.316 alpha=34.52 beta=34.52 gamma=34.52
Element x y z (fractional)
Ag 0.336 0.336 0.336
Ag 0.664 0.664 0.664
Al 0.588 0.588 0.076
Al 0.924 0.412 0.412
Al 0.412 0.924 0.412
Al 0.500 0.500 0.500
Al 0.588 0.076 0.588
Al 0.076 0.588 0.588
Al 0.412 0.412 0.924
Er 0.143 0.143 0.143
Er 0.857 0.857 0.857
Y 0.000 0.000 0.000

Properties
electronic total energy = -4.408 eV per atom
mass density = 5.9 Mg/m³

=====

No. 6
A plane-wave DFT calculation with PBE was carried out for an optimized crystal structure of ErZrAl2Ag4.

Unit cell a=4.541 b=4.541 c=8.746 alpha=90.00 beta=90.00 gamma=120.00
Element x y z (fractional)
Ag 0.333 0.667 0.166
Ag 0.000 0.000 0.335
Ag 0.000 0.000 0.665
Ag 0.333 0.667 0.834
Al 0.667 0.333 0.312
Al 0.667 0.333 0.688
Er 0.000 0.000 0.000
Zr 0.333 0.667 0.500

Properties
electronic total energy = -4.240 eV per atom
mass density = 7.9 Mg/m³

=====

No. 7
A plane-wave DFT calculation with PBE was carried out for an optimized crystal structure of KAlAgF6.

Unit cell a=7.031 b=9.643 c=6.597 alpha=90.00 beta=90.95 gamma=90.00
Element x y z (fractional)
Ag 0.250 0.767 0.187
Ag 0.750 0.267 0.313
Ag 0.250 0.733 0.687
Ag 0.750 0.233 0.813
Al 0.000 0.500 0.000
Al 0.500 0.500 0.000
Al 0.000 0.000 0.500
Al 0.500 0.000 0.500
F 0.251 0.527 0.035
F 0.749 0.128 0.079
F 0.958 0.673 0.093
F 0.545 0.671 0.098
F 0.016 0.937 0.245
F 0.483 0.933 0.247
F 0.517 0.433 0.253
F 0.984 0.437 0.255
F 0.455 0.171 0.402
F 0.042 0.173 0.407
F 0.251 0.628 0.421
F 0.749 0.027 0.465
F 0.251 0.973 0.535
F 0.749 0.372 0.579
F 0.958 0.827 0.593
F 0.545 0.829 0.598
F 0.016 0.563 0.745
F 0.483 0.567 0.747
F 0.517 0.067 0.753
F 0.984 0.063 0.755
F 0.455 0.329 0.902
F 0.042 0.327 0.907
F 0.251 0.872 0.921
F 0.749 0.473 0.965
K 0.251 0.128 0.049
K 0.749 0.628 0.451
K 0.251 0.372 0.549
K 0.749 0.872 0.951

Properties
electronic total energy = -4.645 eV per atom
mass density = 4.3 Mg/m³

=====

No. 8
A plane-wave DFT calculation with PBE was carried out for an optimized crystal structure of LiAlAg2F6.

Unit cell a=5.316 b=5.316 c=5.316 alpha=120.00 beta=120.00 gamma=60.00
Element x y z (fractional)
Ag 0.750 0.750 0.250
Ag 0.250 0.250 0.750
Al 0.500 0.500 0.500
F 0.260 0.260 0.260
F 0.740 0.260 0.260
F 0.260 0.740 0.260
F 0.740 0.260 0.740
F 0.260 0.740 0.740
F 0.740 0.740 0.740
Li 0.000 0.000 0.000

Properties
electronic total energy = -4.643 eV per atom
mass density = 5.7 Mg/m³

=====

No. 9
A plane-wave DFT calculation with PBE was carried out for an optimized crystal structure of RbAlAg2F6.

Unit cell a=6.004 b=6.004 c=6.004 alpha=60.00 beta=60.00 gamma=60.00
Element x y z (fractional)
Ag 0.250 0.250 0.250
Ag 0.750 0.750 0.750
Al 0.500 0.500 0.500
F 0.711 0.289 0.289
F 0.289 0.711 0.289
F 0.711 0.711 0.289
F 0.289 0.289 0.711
F 0.711 0.289 0.711
F 0.289 0.711 0.711
Rb 0.000 0.000 0.000

Properties
electronic total energy = -4.371 eV per atom
mass density = 4.8 Mg/m³

=====

No. 10
A plane-wave DFT calculation with PBE was carried out for an optimized crystal structure of Al2FeAg.

Unit cell a=4.391 b=4.391 c=4.391 alpha=60.00 beta=60.00 gamma=60.00
Element x y z (fractional)
Ag 0.500 0.500 0.500
Al 0.000 0.000 0.000
Al 0.750 0.750 0.750
Fe 0.250 0.250 0.250

Properties
electronic total energy = -4.506 eV per atom
mass density = 6.0 Mg/m³

=====

No. 11
A plane-wave DFT calculation with PBE was carried out for an optimized crystal structure of AlFeAg.

Unit cell a=4.199 b=4.199 c=4.199 alpha=60.00 beta=60.00 gamma=60.00
Element x y z (fractional)
Ag 0.250 0.250 0.250
Al 0.750 0.750 0.750
Fe 0.000 0.000 0.000

Properties
electronic total energy = -4.559 eV per atom
mass density = 6.1 Mg/m³

=====

No. 12
A plane-wave DFT calculation with PBE was carried out for an optimized crystal structure of Al2FeAg2.

Unit cell a=6.574 b=6.574 c=6.574 alpha=146.43 beta=146.43 gamma=48.22
Element x y z (fractional)
Ag 0.394 0.394 0.000
Ag 0.606 0.606 0.000
Al 0.750 0.250 0.500
Al 0.250 0.750 0.500
Fe 0.000 0.000 0.000

Properties
electronic total energy = -3.862 eV per atom
mass density = 6.2 Mg/m³